1.
## Bi4S4Br3 (PBE-GGA)

Data for a relaxed Bi4S4Br3 crystal.

Values from the calculation:
ΔE_f (raw): -0.27 eV per atom
SG: No. 71
spin magnetization: 0.000 μB per atom

Cell: 3.902 9.187 9.501 Å, 118.91 101.85 90.00°
Positions (direct):
Bi 0.226 0.726 0.452
Bi 0.774 0.274 0.548
Bi 0.500 0.763 0.000
Bi 0.500 0.237 0.000
S 0.335 0.147 0.670
S 0.665 0.477 0.330
S 0.665 0.853 0.330
S 0.335 0.523 0.670
Br 0.104 0.104 0.208
Br 0.896 0.896 0.792
Br 0.000 0.500 0.000

***

2.
## YCrOs2 (PBE-GGA)

Data for a relaxed YCrOs2 crystal.

Values from the calculation:
ΔE_f: 1.80 eV/f.u.
SG: No. 47
E above lowest polymorph: 307 meV/atom
spin magnetization: 0.440 μB per atom

Cell: 3.080 4.658 4.571 Å, 90.00 90.00 90.00°
Positions (direct):
Cr 0.000 0.500 0.500
Os 0.000 0.000 0.000
Os 0.500 0.500 0.000
Y 0.500 0.000 0.500

***

3.
## HfTi2CuSi (PBE-GGA)

Data for a relaxed HfTi2CuSi crystal.

Values from the calculation:
ΔE_f (raw): 0.46 eV per atom
SG: No. 123
spin magnetization: 0.000 μB per atom

Cell: 4.585 4.872 4.585 Å, 90.00 90.00 90.00°
Positions (direct):
Si 0.000 0.000 0.000
Hf 0.000 0.500 0.000
Cu 0.500 0.500 0.500
Ti 0.000 0.000 0.500
Ti 0.500 0.000 0.000

***

4.
## NdCoNi (PBE-GGA)

Data for a relaxed NdCoNi crystal.

Values from the calculation:
ΔE_f: -0.57 eV/f.u.
SG: No. 74
spin magnetization: 0.114 μB per atom

Cell: 3.955 5.685 5.685 Å, 74.50 69.64 69.64°
Positions (direct):
Nd 0.500 0.500 0.000
Nd 0.000 0.000 0.500
Co 0.250 0.425 0.575
Co 0.750 0.575 0.425
Ni 0.750 0.912 0.088
Ni 0.250 0.088 0.912